The following is a PBE-GGA calculation of a geometry-optimized Y3Si5Rh6 structure, from Alexandria.

Geometry as POSCAR:
```
Y3Si5Rh6
1.0
-1.190 -2.450 -2.903
-5.643 -4.683 6.265
-9.358 7.708 -2.667
Y Si Rh
6 10 12
direct
0.000 0.252 0.659
0.500 0.748 0.159
0.500 0.748 0.841
0.000 0.257 0.000
0.500 0.743 0.500
0.000 0.252 0.341
0.000 0.514 0.879
0.000 0.851 0.673
0.000 0.886 0.000
0.500 0.486 0.621
0.500 0.114 0.500
0.000 0.514 0.121
0.500 0.486 0.379
0.000 0.851 0.327
0.500 0.149 0.827
0.500 0.149 0.173
0.000 0.008 0.832
0.500 0.992 0.668
0.500 0.400 0.799
0.500 0.514 0.000
0.000 0.486 0.500
0.000 0.600 0.701
0.000 0.600 0.299
0.500 0.019 0.000
0.000 0.008 0.168
0.500 0.400 0.201
0.000 0.981 0.500
0.500 0.992 0.332
```

## Properties
Symmetry ... Pmmn
Uncorrected energy ... -7.521 eV/atom
Formation energy from raw total energies ... -1.05 eV/atom